[1]
DFT (PBE-GGA) results for a relaxed SiPt2 crystal.

Cell: 3.303 12.696 4.306 Å, 90.00 90.00 90.00°
Space group Cmcm (No. 63)
Asymmetric unit:
Si 0.000 0.086 0.250 x4
Pt 0.000 0.282 0.750 x4
Pt 0.000 0.433 0.250 x4

Calculated values
As for the uncorrected formation energy: -0.446 eV/atom. The density of states at the Fermi level comes out at 0.68 states/eV/f.u. The electronic total energy is -6.2813 eV/atom.

[2]
DFT (PBE-GGA) results for a relaxed AlTlHg2Se4 crystal.

Cell: 6.789 8.078 8.849 Å, 90.00 90.00 90.00°
Space group I222 (No. 23)
Asymmetric unit:
Al 0.000 0.000 0.000 x2
Tl 0.000 0.000 0.500 x2
Hg 0.000 0.500 0.320 x4
Se 0.200 0.182 0.845 x8

Calculated values
As for the uncorrected formation energy: -0.455 eV/atom. The electronic total energy is -3.0365 eV/atom.

[3]
DFT (PBE-GGA) results for a relaxed CeCo4B crystal.

Cell: 4.668 5.278 7.101 Å, 68.78 70.81 89.99°
Space group P-1 (No. 2)
Asymmetric unit:
Ce 0.178 0.250 0.000 x2
Co 0.103 0.798 0.570 x2
Co 0.301 0.665 0.211 x2
Co 0.327 0.298 0.570 x2
Co 0.487 0.166 0.212 x2
B 0.000 0.500 0.500 x1
B 0.500 0.000 0.500 x1

Calculated values
For the calculated formation energy, the calculation gives -0.003 eV per atom. The density of states at the Fermi level comes out at 7.67 states/eV/f.u. The relative energy among the computed polymorphs is 0.311 eV/atom. The electronic total energy is -6.8426 eV/atom.

[4]
DFT (PBE-GGA) results for a relaxed Mn6Ni16P7 crystal.

Cell: 10.984 10.984 10.984 Å, 90.00 90.00 90.00°
Space group Fm-3m (No. 225)
Asymmetric unit:
Mn 0.000 0.000 0.191 x24
Ni 0.117 0.117 0.383 x32
Ni 0.164 0.164 0.164 x32
P 0.000 0.000 0.500 x4
P 0.000 0.250 0.250 x24

Calculated values
For the calculated formation energy, the calculation gives -0.422 eV per atom. The density of states at the Fermi level comes out at 16.46 states/eV/f.u. The electronic total energy is -6.8149 eV/atom.

[5]
DFT (PBE-GGA) results for a relaxed Ba2BrClO crystal.

Cell: 17.389 4.438 11.130 Å, 90.00 128.78 90.00°
Space group C2/m (No. 12)
Asymmetric unit:
Ba 0.087 0.000 0.336 x4
Ba 0.135 0.500 0.057 x4
Br 0.214 0.500 0.643 x4
Cl 0.138 0.000 0.862 x4
O 0.050 0.500 0.184 x4

Calculated values
As for the uncorrected formation energy: -2.440 eV/atom. The density of states at the Fermi level comes out at 0.00 states/eV/f.u. The relative energy among the computed polymorphs is 0.000 eV/atom. The electronic total energy is -4.9044 eV/atom.

[6]
DFT (PBE-GGA) results for a relaxed NbAg3As crystal.

Cell: 5.138 5.138 5.138 Å, 90.00 90.00 90.00°
Space group Pm-3m (No. 221)
Asymmetric unit:
Nb 0.000 0.000 0.000 x1
Ag 0.000 0.000 0.500 x3
As 0.500 0.500 0.500 x1

Calculated values
For the calculated formation energy, the calculation gives 1.627 eV per atom. The density of states at the Fermi level comes out at 5.92 states/eV/f.u. The relative energy among the computed polymorphs is 0.652 eV/atom. The electronic total energy is -3.0275 eV/atom.

[7]
DFT (PBE-GGA) results for a relaxed InAgHAu2 crystal.

Cell: 4.420 4.420 4.106 Å, 90.00 90.00 90.00°
Space group P4/mmm (No. 123)
Asymmetric unit:
In 0.000 0.000 0.000 x1
Ag 0.500 0.500 0.000 x1
H 0.500 0.500 0.500 x1
Au 0.000 0.500 0.500 x2

Calculated values
The density of states at the Fermi level comes out at 1.73 states/eV/f.u. The electronic total energy is -2.9366 eV/atom.

[8]
DFT (PBE-GGA) results for a relaxed Pm2TeSe crystal.

Cell: 4.2215 4.2215 22.4039 Å, 90.00 90.00 120.00°
Space group R3m (No. 160, hexagonal axes)
Asymmetric unit:
Pm 0.0000 0.0000 0.0000 x3
Pm 0.0000 0.0000 0.1871 x3
Te 0.0000 0.0000 0.7607 x3
Se 0.0000 0.0000 0.5920 x3

Calculated values
As for the uncorrected formation energy: -1.651 eV/atom. The density of states at the Fermi level comes out at 0.73 states/eV/f.u. The relative energy among the computed polymorphs is 0.000 eV/atom. The electronic total energy is -5.6833 eV/atom.

[9]
DFT (PBE-GGA) results for a relaxed TlCdCu2Br6 crystal.

Cell: 14.180 13.602 7.985 Å, 90.00 112.11 90.00°
Space group C2/c (No. 15)
Asymmetric unit:
Tl 0.000 0.132 0.250 x4
Cd 0.000 0.207 0.750 x4
Cu 0.188 0.444 0.191 x8
Br 0.121 0.276 0.060 x8
Br 0.123 0.071 0.679 x8
Br 0.142 0.439 0.451 x8

Calculated values
As for the uncorrected formation energy: -0.530 eV/atom. The density of states at the Fermi level comes out at 8.29 states/eV/f.u. The electronic total energy is -2.6811 eV/atom.

[10]
DFT (PBE-GGA) results for a relaxed Y5Mo crystal.

Cell: 3.5547 3.5547 16.0519 Å, 90.00 90.00 120.00°
Space group P-6m2 (No. 187)
Asymmetric unit:
Y 0.0000 0.0000 0.0000 x1
Y 0.0000 0.0000 0.3651 x2
Y 0.3333 0.6667 0.1784 x2
Mo 0.3333 0.6667 0.5000 x1

Calculated values
For the calculated formation energy, the calculation gives 0.275 eV per atom. The density of states at the Fermi level comes out at 9.97 states/eV/f.u. The relative energy among the computed polymorphs is 0.090 eV/atom. The electronic total energy is -6.9166 eV/atom.

[11]
DFT (PBE-GGA) results for a relaxed Zr4ScSe crystal.

Cell: 8.296 8.296 8.296 Å, 90.00 90.00 90.00°
Space group F-43m (No. 216)
Asymmetric unit:
Zr 0.121 0.121 0.121 x16
Sc 0.250 0.250 0.750 x4
Se 0.000 0.000 0.500 x4

Calculated values
As for the uncorrected formation energy: 0.267 eV/atom. The density of states at the Fermi level comes out at 11.33 states/eV/f.u. The electronic total energy is -7.0680 eV/atom.

[12]
DFT (PBE-GGA) results for a relaxed DyInSnPb crystal.

Cell: 4.583 4.583 10.129 Å, 90.00 90.00 90.00°
Space group I-4m2 (No. 119)
Asymmetric unit:
Dy 0.000 0.000 0.000 x2
In 0.000 0.500 0.750 x2
Sn 0.000 0.500 0.250 x2
Pb 0.000 0.000 0.500 x2

Calculated values
For the calculated formation energy, the calculation gives -0.333 eV per atom. The density of states at the Fermi level comes out at 1.53 states/eV/f.u. The electronic total energy is -4.0961 eV/atom.